No. 1
{
  "formula": "Nd4Sm3",
  "functional": "PBE",
  "state": "optimized geometry",
  "lattice_angstrom": [[3.6626, 0.0000, 0.0000], [0.0000, 3.6626, 0.0000], [-1.8313, -1.8313, 18.1272]],
  "species": ["Nd", "Nd", "Nd", "Nd", "Sm", "Sm", "Sm"],
  "frac_coords": [[0.8565, 0.8565, 0.7131], [0.4288, 0.4288, 0.8575], [0.5712, 0.5712, 0.1425], [0.1435, 0.1435, 0.2869], [0.0000, 0.0000, 0.0000], [0.2852, 0.2852, 0.5703], [0.7148, 0.7148, 0.4297]],
  "formation_energy_ev_per_atom": 0.0157,
  "mass_density_g_cm3": 7.02,
  "e_above_lowest_polymorph_mev_per_atom": 2.9
}

***

No. 2
{
  "formula": "LaZr2Zn",
  "functional": "PBE",
  "state": "optimized geometry",
  "lattice_angstrom": [[5.2130, 0.0041, 0.0000], [-0.0311, 5.2129, 0.0000], [0.0000, 0.0000, 3.3474]],
  "species": ["Zr", "Zr", "La", "Zn"],
  "frac_coords": [[0.0000, 0.0000, 0.0000], [0.5000, 0.5000, 0.0000], [0.5000, 0.0000, 0.5000], [0.0000, 0.5000, 0.5000]],
  "formation_energy_ev_per_atom": 0.1644,
  "mass_density_g_cm3": 7.06
}

***

No. 3
{
  "formula": "RbMnTc3",
  "functional": "PBE",
  "state": "optimized geometry",
  "lattice_angstrom": [[-1.0638, -2.0107, -4.0317], [4.4376, -1.1828, -0.5810], [-0.7777, -3.9984, 2.1993]],
  "species": ["Tc", "Tc", "Tc", "Rb", "Mn"],
  "frac_coords": [[0.0000, 0.5000, 0.0000], [0.0000, 0.0000, 0.5000], [0.5000, 0.0000, 0.0000], [0.5000, 0.5000, 0.5000], [0.0000, 0.0000, 0.0000]],
  "formation_energy_ev_per_atom": 1.5864,
  "mass_density_g_cm3": 7.27,
  "e_above_lowest_polymorph_mev_per_atom": 0.0
}

***

No. 4
{
  "formula": "YInS2O",
  "functional": "PBE",
  "state": "optimized geometry",
  "lattice_angstrom": [[5.0224, 0.0000, 0.0000], [0.0000, 4.0288, 0.0000], [0.0000, 0.0000, 5.0224]],
  "species": ["Y", "O", "S", "S", "In"],
  "frac_coords": [[0.5000, 0.5000, 0.5000], [0.0000, 0.5000, 0.0000], [0.5000, 0.0000, 0.0000], [0.0000, 0.0000, 0.5000], [0.0000, 0.0000, 0.0000]],
  "raw_formation_energy_ev_per_atom": -1.010,
  "mass_density_g_cm3": 4.64
}

***

No. 5
{
  "formula": "Na2LiMnB",
  "functional": "PBE",
  "state": "optimized geometry",
  "lattice_angstrom": [[-1.1750, -3.6825, -2.8210], [4.5306, -1.7428, 0.3880], [-1.3030, -2.5309, 3.8466]],
  "species": ["B", "Mn", "Li", "Na", "Na"],
  "frac_coords": [[0.5000, 0.5000, 0.5000], [0.0000, 0.5000, 0.0000], [0.0000, 0.0000, 0.0000], [0.0000, 0.0000, 0.5000], [0.5000, 0.0000, 0.0000]],
  "formation_energy_ev_per_atom": 1.5030,
  "mass_density_g_cm3": 1.77
}

***

No. 6
{
  "formula": "Pr7Al7Co6",
  "functional": "PBE",
  "state": "optimized geometry",
  "lattice_angstrom": [[13.9559, 0.0000, 0.0000], [0.0000, 13.9559, 0.0000], [0.0000, 0.0000, 4.1835]],
  "species": ["Al", "Al", "Al", "Al", "Al", "Al", "Al", "Al", "Al", "Al", "Al", "Al", "Al", "Al", "Pr", "Pr", "Pr", "Pr", "Pr", "Pr", "Pr", "Pr", "Pr", "Pr", "Pr", "Pr", "Pr", "Pr", "Co", "Co", "Co", "Co", "Co", "Co", "Co", "Co", "Co", "Co", "Co", "Co"],
  "frac_coords": [[0.8604, 0.9008, 0.5000], [0.7854, 0.7146, 0.5000], [0.0992, 0.8604, 0.5000], [0.5000, 0.0000, 0.0000], [0.1396, 0.0992, 0.5000], [0.3604, 0.5992, 0.5000], [0.2854, 0.7854, 0.5000], [0.9008, 0.1396, 0.5000], [0.4008, 0.3604, 0.5000], [0.5992, 0.6396, 0.5000], [0.0000, 0.5000, 0.0000], [0.7146, 0.2146, 0.5000], [0.6396, 0.4008, 0.5000], [0.2146, 0.2854, 0.5000], [0.6318, 0.8682, 0.5000], [0.3682, 0.1318, 0.5000], [0.2385, 0.4524, 0.0000], [0.7615, 0.5476, 0.0000], [0.1318, 0.6318, 0.5000], [0.5476, 0.2385, 0.0000], [0.0476, 0.2615, 0.0000], [0.8682, 0.3682, 0.5000], [0.0000, 0.0000, 0.0000], [0.4524, 0.7615, 0.0000], [0.5000, 0.5000, 0.0000], [0.2615, 0.9524, 0.0000], [0.7385, 0.0476, 0.0000], [0.9524, 0.7385, 0.0000], [0.2889, 0.6656, 0.0000], [0.3344, 0.2889, 0.0000], [0.9272, 0.5728, 0.5000], [0.4272, 0.9272, 0.5000], [0.6656, 0.7111, 0.0000], [0.1656, 0.7889, 0.0000], [0.7889, 0.8344, 0.0000], [0.2111, 0.1656, 0.0000], [0.7111, 0.3344, 0.0000], [0.5728, 0.0728, 0.5000], [0.0728, 0.4272, 0.5000], [0.8344, 0.2111, 0.0000]],
  "formation_energy_ev_per_atom": -0.3621,
  "mass_density_g_cm3": 6.23
}

***

No. 7
{
  "formula": "Cs4Sm3YSe8",
  "functional": "PBE",
  "state": "optimized geometry",
  "lattice_angstrom": [[-5.0329, -4.9357, 5.0364], [0.5460, -7.2345, -6.5442], [7.5351, 3.0148, 3.0331]],
  "species": ["Sm", "Sm", "Sm", "Y", "Se", "Se", "Se", "Se", "Se", "Se", "Se", "Se", "Cs", "Cs", "Cs", "Cs"],
  "frac_coords": [[0.5000, 0.5000, 0.0000], [0.0000, 0.5000, 0.5000], [0.5000, 0.5000, 0.5000], [0.0000, 0.5000, 0.0000], [0.2272, 0.6877, 0.9605], [0.7333, 0.6877, 0.9605], [0.2272, 0.6877, 0.4544], [0.7728, 0.3123, 0.0395], [0.2667, 0.3123, 0.0395], [0.7728, 0.3123, 0.5456], [0.2702, 0.3107, 0.5404], [0.7298, 0.6893, 0.4596], [0.5000, 0.0000, 0.5000], [0.5000, 0.0000, 0.0000], [0.0000, 0.0000, 0.0000], [0.0000, 0.0000, 0.5000]],
  "raw_formation_energy_ev_per_atom": -1.731,
  "mass_density_g_cm3": 5.18
}

***

No. 8
{
  "formula": "Tb3Tm6Tc",
  "functional": "PBE",
  "state": "optimized geometry",
  "lattice_angstrom": [[-2.8989, 3.5717, 2.2932], [-7.3962, -6.9412, 1.4612], [4.4589, -2.6843, 9.8172]],
  "species": ["Tb", "Tb", "Tb", "Tb", "Tb", "Tb", "Tm", "Tm", "Tm", "Tm", "Tm", "Tm", "Tm", "Tm", "Tm", "Tm", "Tm", "Tm", "Tc", "Tc"],
  "frac_coords": [[0.5000, 0.1049, 0.2894], [0.0000, 0.6049, 0.2106], [0.5000, 0.5000, 0.0000], [0.0000, 0.3951, 0.7894], [0.0000, 0.0000, 0.5000], [0.5000, 0.8951, 0.7106], [0.0000, 0.9175, 0.2265], [0.5000, 0.5825, 0.7265], [0.5000, 0.1508, 0.9486], [0.5000, 0.8492, 0.0514], [0.5000, 0.4175, 0.2735], [0.0000, 0.7422, 0.8800], [0.5000, 0.2422, 0.6200], [0.0000, 0.2578, 0.1200], [0.5000, 0.7578, 0.3800], [0.0000, 0.6509, 0.5514], [0.0000, 0.3491, 0.4486], [0.0000, 0.0825, 0.7735], [0.0000, 0.0000, 0.0000], [0.5000, 0.5000, 0.5000]],
  "formation_energy_ev_per_atom": 0.0639,
  "mass_density_g_cm3": 9.01
}

***

No. 9
{
  "formula": "Sm2ErAu6",
  "functional": "PBE",
  "state": "optimized geometry",
  "lattice_angstrom": [[-2.7946, 4.2840, 2.0197], [-5.3765, -1.9218, -3.3629], [1.0307, -2.2292, 6.1544]],
  "species": ["Sm", "Sm", "Au", "Au", "Au", "Au", "Au", "Au", "Er"],
  "frac_coords": [[0.6626, 0.3333, 0.6667], [0.3374, 0.6667, 0.3333], [0.8225, 0.8114, 0.6229], [0.1775, 0.1886, 0.8114], [0.8225, 0.3771, 0.1886], [0.1775, 0.6229, 0.8114], [0.1775, 0.1886, 0.3771], [0.8225, 0.8114, 0.1886], [0.5000, 0.0000, 0.0000]],
  "formation_energy_ev_per_atom": -0.6379,
  "mass_density_g_cm3": 13.10
}

***

No. 10
{
  "formula": "Sr3Zn3Ni2",
  "functional": "PBE",
  "state": "optimized geometry",
  "lattice_angstrom": [[-5.2106, -3.0568, -0.0934], [1.3590, -2.5488, 7.5989], [-7.4050, 12.4543, 5.5017]],
  "species": ["Zn", "Zn", "Zn", "Zn", "Zn", "Zn", "Zn", "Zn", "Zn", "Zn", "Zn", "Zn", "Sr", "Sr", "Sr", "Sr", "Sr", "Sr", "Sr", "Sr", "Sr", "Sr", "Sr", "Sr", "Ni", "Ni", "Ni", "Ni", "Ni", "Ni", "Ni", "Ni"],
  "frac_coords": [[0.1133, 0.1676, 0.9615], [0.1133, 0.1676, 0.5385], [0.8867, 0.8324, 0.4615], [0.4213, 0.6623, 0.2500], [0.6133, 0.3324, 0.4615], [0.8867, 0.8324, 0.0385], [0.5787, 0.3377, 0.7500], [0.3867, 0.6676, 0.5385], [0.9213, 0.8377, 0.7500], [0.0787, 0.1623, 0.2500], [0.3867, 0.6676, 0.9615], [0.6133, 0.3324, 0.0385], [0.6222, 0.0419, 0.8947], [0.3778, 0.9581, 0.3947], [0.8778, 0.5419, 0.8947], [0.1209, 0.1865, 0.7500], [0.8778, 0.5419, 0.6053], [0.1222, 0.4581, 0.1053], [0.3778, 0.9581, 0.1053], [0.1222, 0.4581, 0.3947], [0.6222, 0.0419, 0.6053], [0.8791, 0.8135, 0.2500], [0.6209, 0.3135, 0.2500], [0.3791, 0.6865, 0.7500], [0.3859, 0.3781, 0.5987], [0.3859, 0.3781, 0.9013], [0.6141, 0.6219, 0.4013], [0.1141, 0.8781, 0.9013], [0.8859, 0.1219, 0.4013], [0.1141, 0.8781, 0.5987], [0.6141, 0.6219, 0.0987], [0.8859, 0.1219, 0.0987]],
  "formation_energy_ev_per_atom": -0.1793,
  "mass_density_g_cm3": 5.03
}

***

No. 11
{
  "formula": "HfTi2Tl2",
  "functional": "PBE",
  "state": "optimized geometry",
  "lattice_angstrom": [[8.2170, 0.0000, 0.0000], [0.0000, 8.2170, 0.0000], [0.0000, 0.0000, 3.1087]],
  "species": ["Ti", "Ti", "Ti", "Ti", "Hf", "Hf", "Tl", "Tl", "Tl", "Tl"],
  "frac_coords": [[0.3862, 0.8862, 0.0000], [0.8862, 0.6138, 0.0000], [0.6138, 0.1138, 0.0000], [0.1138, 0.3862, 0.0000], [0.5000, 0.5000, 0.0000], [0.0000, 0.0000, 0.0000], [0.1820, 0.6820, 0.5000], [0.8180, 0.3180, 0.5000], [0.6820, 0.8180, 0.5000], [0.3180, 0.1820, 0.5000]],
  "formation_energy_ev_per_atom": 0.2792,
  "mass_density_g_cm3": 10.81,
  "e_above_lowest_polymorph_mev_per_atom": 64.5
}

***

No. 12
{
  "formula": "SrSc2Al",
  "functional": "PBE",
  "state": "optimized geometry",
  "lattice_angstrom": [[-0.8887, 0.3046, 4.6025], [-3.4165, -3.2330, -0.4457], [3.1388, -3.4318, 0.8333]],
  "species": ["Sr", "Sc", "Sc", "Al"],
  "frac_coords": [[0.5000, 0.5000, 0.0000], [0.0000, 0.5000, 0.5000], [0.0000, 0.0000, 0.0000], [0.5000, 0.0000, 0.5000]],
  "formation_energy_ev_per_atom": 0.0905,
  "mass_density_g_cm3": 3.24
}

***

No. 13
{
  "formula": "Ti3PdAu",
  "functional": "PBE",
  "state": "optimized geometry",
  "lattice_angstrom": [[-3.3754, 3.1385, -2.0985], [-4.0005, -0.9376, 5.0323], [4.3631, 4.8103, 0.1763]],
  "species": ["Au", "Au", "Pd", "Pd", "Ti", "Ti", "Ti", "Ti", "Ti", "Ti"],
  "frac_coords": [[0.2500, 0.3335, 0.6665], [0.7500, 0.6665, 0.3335], [0.5000, 0.0000, 0.0000], [0.0000, 0.0000, 0.0000], [0.7500, 0.5985, 0.7989], [0.2500, 0.7992, 0.2008], [0.2500, 0.4015, 0.2011], [0.7500, 0.2011, 0.4015], [0.7500, 0.2008, 0.7992], [0.2500, 0.7989, 0.5985]],
  "formation_energy_ev_per_atom": 0.0539,
  "mass_density_g_cm3": 8.02,
  "e_above_lowest_polymorph_mev_per_atom": 0.0
}

***

No. 14
{
  "formula": "LiCaTlCd2",
  "functional": "PBE",
  "state": "optimized geometry",
  "lattice_angstrom": [[-3.3067, -2.2534, 3.0033], [-0.3427, -3.8041, -3.2316], [3.7900, -2.3735, 2.3920]],
  "species": ["Ca", "Cd", "Cd", "Tl", "Li"],
  "frac_coords": [[0.5000, 0.5000, 0.5000], [0.5000, 0.0000, 0.0000], [0.0000, 0.5000, 0.0000], [0.0000, 0.0000, 0.5000], [0.0000, 0.0000, 0.0000]],
  "formation_energy_ev_per_atom": -0.1026,
  "mass_density_g_cm3": 6.23
}

***

No. 15
{
  "formula": "LiNbGa2Rh",
  "functional": "PBE",
  "state": "optimized geometry",
  "lattice_angstrom": [[4.6271, 0.0000, 0.0000], [0.0000, 4.1966, 0.0000], [0.0000, 0.0000, 4.6271]],
  "species": ["Nb", "Li", "Ga", "Ga", "Rh"],
  "frac_coords": [[0.5000, 0.5000, 0.5000], [0.0000, 0.5000, 0.0000], [0.0000, 0.0000, 0.5000], [0.5000, 0.0000, 0.0000], [0.0000, 0.0000, 0.0000]],
  "formation_energy_ev_per_atom": 0.3445,
  "mass_density_g_cm3": 6.32
}

***

No. 16
{
  "formula": "Na3MgU2Te6",
  "functional": "PBE",
  "state": "optimized geometry",
  "lattice_angstrom": [[-7.4965, -0.8919, -1.0330], [4.1990, -5.7881, 2.6320], [-0.1533, 4.5411, 6.5558]],
  "species": ["Na", "Na", "Na", "U", "U", "Mg", "Te", "Te", "Te", "Te", "Te", "Te"],
  "frac_coords": [[0.8315, 0.1685, 0.5000], [0.1685, 0.8315, 0.5000], [0.5000, 0.5000, 0.5000], [0.6665, 0.3335, 0.0000], [0.3335, 0.6665, 0.0000], [0.0000, 0.0000, 0.0000], [0.7498, 0.7498, 0.2306], [0.9234, 0.5962, 0.7698], [0.4038, 0.0766, 0.2302], [0.0766, 0.4038, 0.2302], [0.5962, 0.9234, 0.7698], [0.2502, 0.2502, 0.7694]],
  "raw_formation_energy_ev_per_atom": -0.818,
  "mass_density_g_cm3": 5.83
}

***

No. 17
{
  "formula": "Ir2W",
  "functional": "PBE",
  "state": "optimized geometry",
  "lattice_angstrom": [[4.8354, 0.0000, 0.0000], [0.0000, 4.4107, 0.0000], [0.0000, 0.0000, 8.4053]],
  "species": ["W", "W", "W", "W", "Ir", "Ir", "Ir", "Ir", "Ir", "Ir", "Ir", "Ir"],
  "frac_coords": [[0.6709, 0.2500, 0.6574], [0.3291, 0.7500, 0.3426], [0.8291, 0.7500, 0.1574], [0.1709, 0.2500, 0.8426], [0.3333, 0.7500, 0.0065], [0.8422, 0.7500, 0.8284], [0.3422, 0.7500, 0.6716], [0.6667, 0.2500, 0.9935], [0.1667, 0.2500, 0.5065], [0.8333, 0.7500, 0.4935], [0.1578, 0.2500, 0.1716], [0.6578, 0.2500, 0.3284]],
  "formation_energy_ev_per_atom": -0.3514,
  "mass_density_g_cm3": 21.06
}

***

No. 18
{
  "formula": "NdGdNi",
  "functional": "PBE",
  "state": "optimized geometry",
  "lattice_angstrom": [[4.8447, 0.0000, 0.0000], [2.4223, 4.1956, 0.0000], [2.4223, 1.3985, 3.9556]],
  "species": ["Ni", "Nd", "Gd"],
  "frac_coords": [[0.2500, 0.2500, 0.2500], [0.5000, 0.5000, 0.5000], [0.0000, 0.0000, 0.0000]],
  "formation_energy_ev_per_atom": -0.0868,
  "mass_density_g_cm3": 7.44,
  "e_above_lowest_polymorph_mev_per_atom": 80.2
}

***

No. 19
{
  "formula": "Na5InO4",
  "functional": "PBE",
  "state": "optimized geometry",
  "lattice_angstrom": [[3.4801, 0.0000, 0.0000], [0.0000, 6.2666, -0.7014], [-1.7401, -2.4061, 6.8281]],
  "species": ["O", "O", "O", "O", "In", "Na", "Na", "Na", "Na", "Na"],
  "frac_coords": [[0.0001, 0.7621, 0.0001], [0.3152, 0.8151, 0.6303], [0.6848, 0.1849, 0.3697], [0.9999, 0.2379, 0.9999], [0.5000, 0.0000, 0.0000], [0.8284, 0.5956, 0.6567], [0.5000, 0.5000, 0.0000], [0.1717, 0.9391, 0.3434], [0.1716, 0.4044, 0.3433], [0.8283, 0.0609, 0.6566]],
  "raw_formation_energy_ev_per_atom": -1.317,
  "mass_density_g_cm3": 3.41,
  "e_above_lowest_polymorph_mev_per_atom": 89.7
}

***

No. 20
{
  "formula": "BeOsBr2",
  "functional": "PBE",
  "state": "optimized geometry",
  "lattice_angstrom": [[-1.7449, 5.1704, 3.4768], [3.2999, -2.1181, 5.1468], [-0.3769, 2.6854, -5.8747]],
  "species": ["Be", "Br", "Br", "Os"],
  "frac_coords": [[0.2597, 0.7597, 0.5000], [0.6774, 0.1774, 0.5000], [0.0936, 0.0936, 0.0000], [0.4693, 0.4693, 0.0000]],
  "raw_formation_energy_ev_per_atom": 0.683,
  "mass_density_g_cm3": 4.94,
  "e_above_lowest_polymorph_mev_per_atom": 501.1
}

***

No. 21
{
  "formula": "Nd2Dy7",
  "functional": "PBE",
  "state": "optimized geometry",
  "lattice_angstrom": [[6.1880, 0.0000, 0.0000], [-3.0940, 5.3590, 0.0000], [0.0000, 0.0000, 8.7386]],
  "species": ["Dy", "Dy", "Dy", "Dy", "Dy", "Dy", "Dy", "Nd", "Nd"],
  "frac_coords": [[0.6676, 0.0000, 0.3360], [0.3324, 0.0000, 0.6640], [0.0000, 0.0000, 0.0000], [0.6676, 0.6676, 0.6640], [0.0000, 0.3324, 0.6640], [0.0000, 0.6676, 0.3360], [0.3324, 0.3324, 0.3360], [0.3333, 0.6667, 0.0000], [0.6667, 0.3333, 0.0000]],
  "formation_energy_ev_per_atom": 0.0181,
  "mass_density_g_cm3": 8.17,
  "e_above_lowest_polymorph_mev_per_atom": 0.0
}